The following is a DFT calculation (PBE) of an optimized crystal structure of AcSm3Y2.

Results
* energy relative to the lowest polymorph listed for this composition: 0.123 eV/atom
* energy of formation: 202 meV per atom

extended XYZ file:
```
12
Lattice="-6.5185 1.8348 -0.4225 -2.0764 -7.5550 -0.7748 -0.6590 -0.5387 7.8272" Properties=species:S:1:pos:R:3 pbc="T T T"
Ac -7.3341 -5.8594 5.9878
Ac -1.9196 -0.3994 0.6421
Sm -2.7555 -2.8728 2.7973
Sm -6.4983 -3.3861 3.8327
Sm -4.2826 -1.4254 5.4041
Sm -1.0234 -2.3428 5.6154
Sm -4.9711 -4.8335 1.2258
Sm -1.7119 -5.7509 1.4371
Y -5.7989 -1.7645 0.0845
Y -3.4549 -4.4944 6.5454
Y -3.9047 -6.7212 3.8154
Y -5.3490 0.4623 2.8145
```